# 1
Here is a relaxed structure of LiTl3Cu2Cl6 from Alexandria via LeMat-Bulk. Energies are from PBE.

Raw formation energy: -900.1 meV/atom
Symmetry: No. 164
Total moment: 0.01 μB per formula unit
DOS at the Fermi energy: 0.000 states/eV/f.u.
Total DFT energy (no corrections): -3.257 eV/atom

Unit cell a=7.3525 b=7.3525 c=8.1723 alpha=90.00 beta=90.00 gamma=120.00
Positions (direct):
Tl (0.6667, 0.3333, 0.3462)
Tl (0.3333, 0.6667, 0.6538)
Tl (0.0000, 0.0000, 0.0000)
Li (0.0000, 0.0000, 0.5000)
Cl (0.3185, 0.1592, 0.6979)
Cl (0.6815, 0.8408, 0.3021)
Cl (0.1592, 0.8408, 0.3021)
Cl (0.8408, 0.1592, 0.6979)
Cl (0.8408, 0.6815, 0.6979)
Cl (0.1592, 0.3185, 0.3021)
Cu (0.3333, 0.6667, 0.3082)
Cu (0.6667, 0.3333, 0.6918)

# 2
Here is a relaxed structure of LiTl2CuCl6 from Alexandria via LeMat-Bulk. Energies are from PBE.

Raw formation energy: -875.8 meV/atom
Symmetry: No. 12
Total moment: 0.00 μB per formula unit
Total DFT energy (no corrections): -3.058 eV/atom

Unit cell a=6.9345 b=6.9355 c=7.2690 alpha=61.46 beta=61.46 gamma=90.00
Positions (direct):
Tl (0.2498, 0.7499, 0.5002)
Tl (0.7502, 0.2501, 0.4997)
Cl (0.7240, 0.2757, 0.0000)
Cl (0.7843, 0.7843, 0.4311)
Cl (0.2753, 0.2757, 0.0007)
Cl (0.7247, 0.7243, 0.9993)
Cl (0.2760, 0.7243, 0.0000)
Cl (0.2157, 0.2157, 0.5689)
Cu (0.5000, 0.5000, 0.0000)
Li (0.0000, 0.0000, 0.0000)

# 3
Here is a relaxed structure of LiTlCuCl3 from Alexandria via LeMat-Bulk. Energies are from PBE.

Raw formation energy: -1057.5 meV/atom
Symmetry: No. 11
Total moment: 0.00 μB per formula unit
DOS at the Fermi energy: 0.000 states/eV/f.u.
Total DFT energy (no corrections): -3.377 eV/atom

Unit cell a=3.8907 b=8.4837 c=9.1663 alpha=107.23 beta=90.00 gamma=90.00
Positions (direct):
Cl (0.7500, 0.2153, 0.5432)
Cl (0.2500, 0.1247, 0.8561)
Cl (0.2500, 0.7847, 0.4568)
Cl (0.7500, 0.4616, 0.1526)
Cl (0.7500, 0.8753, 0.1439)
Cl (0.2500, 0.5384, 0.8474)
Li (0.7500, 0.3514, 0.8725)
Li (0.2500, 0.6486, 0.1275)
Cu (0.7500, 0.9297, 0.4086)
Cu (0.2500, 0.0703, 0.5914)
Tl (0.7500, 0.7932, 0.7754)
Tl (0.2500, 0.2068, 0.2246)

# 4
Here is a relaxed structure of LiUCuCl6 from Alexandria via LeMat-Bulk. Energies are from PBE.

Raw formation energy: -1401.6 meV/atom
Symmetry: No. 163
Total moment: 2.00 μB per formula unit
DOS at the Fermi energy: 4.835 states/eV/f.u.
Total DFT energy (no corrections): -4.555 eV/atom

Unit cell a=6.4112 b=6.4112 c=12.2154 alpha=90.00 beta=90.00 gamma=120.00
Last column: magnetic moment on the atom in μB.
Positions (direct):
Cl (0.3325, 0.3420, 0.8733)  -0.02
Cl (0.6580, 0.6675, 0.6267)  -0.02
Cl (0.6675, 0.6580, 0.1267)  -0.02
Cl (0.3420, 0.0096, 0.1267)  -0.02
Cl (0.3420, 0.3325, 0.3733)  -0.02
Cl (0.3325, 0.9904, 0.6267)  -0.02
Cl (0.0096, 0.3420, 0.6267)  -0.02
Cl (0.0096, 0.6675, 0.8733)  -0.02
Cl (0.9904, 0.3325, 0.1267)  -0.02
Cl (0.6675, 0.0096, 0.3733)  -0.02
Cl (0.6580, 0.9904, 0.8733)  -0.02
Cl (0.9904, 0.6580, 0.3733)  -0.02
Li (0.0000, 0.0000, 0.5000)  0.00
Li (0.0000, 0.0000, 0.0000)  0.00
U (0.3333, 0.6667, 0.2500)  2.10
U (0.6667, 0.3333, 0.7500)  2.10
Cu (0.6667, 0.3333, 0.2500)  -0.05
Cu (0.3333, 0.6667, 0.7500)  -0.05

# 5
Here is a relaxed structure of Li2UCuCl8 from Alexandria via LeMat-Bulk. Energies are from PBE.

Raw formation energy: -1482.4 meV/atom
Symmetry: No. 2
Total moment: 0.90 μB per formula unit
DOS at the Fermi energy: 1.849 states/eV/f.u.
Total DFT energy (no corrections): -4.314 eV/atom

Unit cell a=7.3192 b=6.6877 c=9.7139 alpha=103.44 beta=60.09 gamma=118.34
Last column: magnetic moment on the atom in μB.
Positions (direct):
Cl (0.7367, 0.5768, 0.5648)  -0.03
Cl (0.2956, 0.9031, 0.2399)  -0.03
Cl (0.8024, 0.0008, 0.3518)  -0.04
Cl (0.2335, 0.3534, 0.9889)  0.00
Cl (0.2633, 0.4232, 0.4352)  -0.03
Cl (0.7665, 0.6466, 0.0111)  0.00
Cl (0.7044, 0.0969, 0.7601)  -0.03
Cl (0.1976, 0.9992, 0.6482)  -0.04
Cu (0.0000, 0.0000, 0.0000)  -0.09
U (0.0000, 0.0000, 0.5000)  1.17
Li (0.6358, 0.4401, 0.8168)  0.00
Li (0.3642, 0.5599, 0.1832)  0.00

# 6
Here is a relaxed structure of LiYCu2Cl from Alexandria via LeMat-Bulk. Energies are from PBE.

Raw formation energy: 155.7 meV/atom
Symmetry: No. 123
Total moment: 0.00 μB per formula unit
DOS at the Fermi energy: 4.982 states/eV/f.u.
Total DFT energy (no corrections): -3.528 eV/atom

Unit cell a=4.9426 b=4.1654 c=4.9426 alpha=90.00 beta=90.00 gamma=90.00
Positions (direct):
Li (0.0000, 0.5000, 0.0000)
Cl (0.0000, 0.0000, 0.0000)
Cu (0.0000, 0.0000, 0.5000)
Cu (0.5000, 0.0000, 0.0000)
Y (0.5000, 0.5000, 0.5000)

# 7
Here is a relaxed structure of Na2LuCuCl6 from Alexandria via LeMat-Bulk. Energies are from PBE.

Raw formation energy: -1562.7 meV/atom
Symmetry: No. 225
Total moment: 0.07 μB per formula unit
DOS at the Fermi energy: 0.000 states/eV/f.u.
Total DFT energy (no corrections): -3.796 eV/atom

Unit cell a=7.1624 b=7.1624 c=7.1624 alpha=60.00 beta=60.00 gamma=60.00
Last column: magnetic moment on the atom in μB.
Positions (direct):
Cl (0.2528, 0.2528, 0.7472)  0.00
Cl (0.2528, 0.7472, 0.7472)  0.00
Cl (0.7472, 0.2528, 0.2528)  0.00
Cl (0.7472, 0.2528, 0.7472)  0.00
Cl (0.7472, 0.7472, 0.2528)  0.00
Cl (0.2528, 0.7472, 0.2528)  0.00
Na (0.7500, 0.7500, 0.7500)  0.00
Na (0.2500, 0.2500, 0.2500)  0.00
Lu (0.0000, 0.0000, 0.0000)  0.00
Cu (0.5000, 0.5000, 0.5000)  0.06

# 8
Here is a relaxed structure of Rb2LuCuCl6 from Alexandria via LeMat-Bulk. Energies are from PBE.

Raw formation energy: -1772.5 meV/atom
Symmetry: No. 225
Total moment: 0.09 μB per formula unit
DOS at the Fermi energy: 0.000 states/eV/f.u.
Total DFT energy (no corrections): -3.936 eV/atom

Unit cell a=7.2858 b=7.2858 c=7.2858 alpha=60.00 beta=60.00 gamma=60.00
Last column: magnetic moment on the atom in μB.
Positions (direct):
Cu (0.5000, 0.5000, 0.5000)  0.08
Cl (0.2508, 0.2508, 0.7492)  0.00
Cl (0.7492, 0.2508, 0.2508)  0.00
Cl (0.7492, 0.7492, 0.2508)  0.00
Cl (0.2508, 0.7492, 0.7492)  0.00
Cl (0.7492, 0.2508, 0.7492)  0.00
Cl (0.2508, 0.7492, 0.2508)  0.00
Lu (0.0000, 0.0000, 0.0000)  0.00
Rb (0.2500, 0.2500, 0.2500)  0.00
Rb (0.7500, 0.7500, 0.7500)  0.00

# 9
Here is a relaxed structure of MgCuCl2 from Alexandria via LeMat-Bulk. Energies are from PBE.

Offset from the most stable computed form: 274 meV per atom
Raw formation energy: -531.6 meV/atom
Symmetry: No. 122
Total moment: 0.00 μB per formula unit
DOS at the Fermi energy: 0.395 states/eV/f.u.
Total DFT energy (no corrections): -2.878 eV/atom

Unit cell a=5.8949 b=5.8949 c=7.0513 alpha=65.29 beta=65.29 gamma=90.00
Positions (direct):
Cl (0.8750, 0.9135, 0.7500)
Cl (0.0865, 0.6250, 0.2500)
Cl (0.3750, 0.3365, 0.7500)
Cl (0.6635, 0.1250, 0.2500)
Cu (0.7500, 0.2500, 0.5000)
Cu (0.0000, 0.0000, 0.0000)
Mg (0.2500, 0.7500, 0.5000)
Mg (0.5000, 0.5000, 0.0000)

# 10
Here is a relaxed structure of MgCu2Cl6 from Alexandria via LeMat-Bulk. Energies are from PBE.

Raw formation energy: -865.4 meV/atom
Symmetry: No. 15
Total moment: 2.07 μB per formula unit
DOS at the Fermi energy: 5.298 states/eV/f.u.
Total DFT energy (no corrections): -3.184 eV/atom

Unit cell a=6.6290 b=8.2533 c=8.2533 alpha=82.29 beta=81.37 gamma=81.37
Last column: magnetic moment on the atom in μB.
Positions (direct):
Cl (0.8857, 0.1843, 0.0409)  0.07
Cl (0.3909, 0.7219, 0.5597)  0.20
Cl (0.3689, 0.3736, 0.8655)  0.13
Cl (0.1311, 0.1345, 0.6264)  0.13
Cl (0.1091, 0.4403, 0.2781)  0.20
Cl (0.1143, 0.8157, 0.9591)  0.07
Cl (0.3857, 0.0409, 0.1843)  0.07
Cl (0.8689, 0.8655, 0.3736)  0.13
Cl (0.8909, 0.5597, 0.7219)  0.20
Cl (0.6143, 0.9591, 0.8157)  0.07
Cl (0.6091, 0.2781, 0.4403)  0.20
Cl (0.6311, 0.6264, 0.1345)  0.13
Cu (0.8094, 0.3877, 0.2226)  0.52
Cu (0.6906, 0.7774, 0.6123)  0.52
Cu (0.3094, 0.2226, 0.3877)  0.52
Cu (0.1906, 0.6123, 0.7774)  0.52
Mg (0.7500, 0.8992, 0.1008)  0.00
Mg (0.2500, 0.1008, 0.8992)  0.00

# 11
Here is a relaxed structure of MgCu4Cl from Alexandria via LeMat-Bulk. Energies are from PBE.

Raw formation energy: 83.2 meV/atom
Symmetry: No. 216
Total moment: 0.00 μB per formula unit
DOS at the Fermi energy: 3.498 states/eV/f.u.
Total DFT energy (no corrections): -3.221 eV/atom

Unit cell a=5.0557 b=5.0557 c=5.0557 alpha=60.00 beta=60.00 gamma=60.00
Positions (direct):
Mg (0.7500, 0.7500, 0.7500)
Cu (0.3752, 0.3752, 0.8743)
Cu (0.3752, 0.8743, 0.3752)
Cu (0.3752, 0.3752, 0.3752)
Cu (0.8743, 0.3752, 0.3752)
Cl (0.0000, 0.0000, 0.0000)

# 12
Here is a relaxed structure of MgCuCl2 from Alexandria via LeMat-Bulk. Energies are from PBE.

Offset from the most stable computed form: 8 meV per atom
Raw formation energy: -797.4 meV/atom
Symmetry: No. 166
Total moment: 0.00 μB per formula unit
DOS at the Fermi energy: 0.465 states/eV/f.u.
Total DFT energy (no corrections): -3.143 eV/atom

Unit cell a=10.9739 b=10.9739 c=10.9739 alpha=18.06 beta=18.06 gamma=18.06
Positions (direct):
Cu (0.0000, 0.0000, 0.0000)
Cl (0.1217, 0.1217, 0.1217)
Cl (0.8783, 0.8783, 0.8783)
Mg (0.5000, 0.5000, 0.5000)